[1]
Compound: NdY4Cd3
Source: Alexandria
Functional: PBE
Structure: optimized geometry

Cell and atoms, written as CIF:
```
data_NdY4Cd3
_chemical_formula_sum 'Nd1 Y4 Cd3'
_cell_length_a 5.373
_cell_length_b 5.373
_cell_length_c 9.571
_cell_angle_alpha 73.70
_cell_angle_beta 73.70
_cell_angle_gamma 60.00
_symmetry_space_group_name_H-M 'P 1'
_symmetry_Int_Tables_number 1
loop_
_symmetry_equiv_pos_as_xyz
'x,y,z'
loop_
_atom_site_label
_atom_site_fract_x
_atom_site_fract_y
_atom_site_fract_z
Y1 0.387 0.387 0.840
Y2 0.613 0.613 0.160
Y3 0.869 0.869 0.393
Y4 0.131 0.131 0.607
Nd1 0.000 0.000 0.000
Cd1 0.500 0.500 0.500
Cd2 0.258 0.258 0.225
Cd3 0.742 0.742 0.775
```

Properties
Formation energy = -4.28 kcal/mol of atoms
Density of states at the Fermi level = 9.73 states/eV/f.u.



[2]
Compound: RbPdICl6
Source: Alexandria
Functional: PBE
Structure: optimized geometry

Cell and atoms, written as CIF:
```
data_RbPdICl6
_chemical_formula_sum 'Rb1 Pd1 I1 Cl6'
_cell_length_a 7.625
_cell_length_b 7.635
_cell_length_c 6.400
_cell_angle_alpha 90.09
_cell_angle_beta 90.04
_cell_angle_gamma 59.95
_symmetry_space_group_name_H-M 'P 1'
_symmetry_Int_Tables_number 1
loop_
_symmetry_equiv_pos_as_xyz
'x,y,z'
loop_
_atom_site_label
_atom_site_fract_x
_atom_site_fract_y
_atom_site_fract_z
Cl1 0.584 0.338 0.712
Cl2 0.077 0.338 0.288
Cl3 0.077 0.584 0.712
Cl4 0.584 0.078 0.288
Cl5 0.338 0.584 0.289
Cl6 0.338 0.078 0.711
I1 0.666 0.667 0.500
Rb1 0.000 0.000 0.000
Pd1 0.333 0.333 0.500
```

Properties
ΔE_f (raw) = -514 meV/atom



[3]
Compound: Pr9MgPb2
Source: Alexandria
Functional: PBE
Structure: optimized geometry

Cell and atoms, written as CIF:
```
data_Pr9MgPb2
_chemical_formula_sum 'Pr9 Mg1 Pb2'
_cell_length_a 5.058
_cell_length_b 5.058
_cell_length_c 15.090
_cell_angle_alpha 90.00
_cell_angle_beta 90.00
_cell_angle_gamma 90.00
_symmetry_space_group_name_H-M 'P 1'
_symmetry_Int_Tables_number 1
loop_
_symmetry_equiv_pos_as_xyz
'x,y,z'
loop_
_atom_site_label
_atom_site_fract_x
_atom_site_fract_y
_atom_site_fract_z
Pb1 0.000 0.000 0.333
Pb2 0.000 0.000 0.667
Pr1 0.000 0.500 0.500
Pr2 0.500 0.500 0.668
Pr3 0.500 0.000 0.168
Pr4 0.500 0.500 0.332
Pr5 0.500 0.000 0.500
Pr6 0.500 0.500 0.000
Pr7 0.000 0.500 0.168
Pr8 0.500 0.000 0.832
Pr9 0.000 0.500 0.832
Mg1 0.000 0.000 0.000
```

Properties
Formation energy = -5.36 kcal/mol of atoms
Density of states at the Fermi level = 17.15 states/eV/f.u.



[4]
Compound: Mg2MnZn2
Source: Alexandria
Functional: PBE
Structure: optimized geometry

Cell and atoms, written as CIF:
```
data_Mg2MnZn2
_chemical_formula_sum 'Mg4 Mn2 Zn4'
_cell_length_a 6.738
_cell_length_b 6.738
_cell_length_c 3.983
_cell_angle_alpha 90.00
_cell_angle_beta 90.00
_cell_angle_gamma 90.00
_symmetry_space_group_name_H-M 'P 1'
_symmetry_Int_Tables_number 1
loop_
_symmetry_equiv_pos_as_xyz
'x,y,z'
loop_
_atom_site_label
_atom_site_fract_x
_atom_site_fract_y
_atom_site_fract_z
Mg1 0.173 0.673 0.500
Mg2 0.827 0.327 0.500
Mg3 0.673 0.827 0.500
Mg4 0.327 0.173 0.500
Zn1 0.368 0.868 0.000
Zn2 0.632 0.132 0.000
Zn3 0.868 0.632 0.000
Zn4 0.132 0.368 0.000
Mn1 0.500 0.500 0.000
Mn2 0.000 0.000 0.000
```

Properties
Formation energy = 2.69 kcal/mol of atoms
Density of states at the Fermi level = 3.04 states/eV/f.u.



[5]
Compound: ZnCu2Bi2
Source: Alexandria
Functional: PBE
Structure: optimized geometry

Cell and atoms, written as CIF:
```
data_ZnCu2Bi2
_chemical_formula_sum 'Zn1 Cu2 Bi2'
_cell_length_a 3.552
_cell_length_b 3.552
_cell_length_c 8.894
_cell_angle_alpha 78.48
_cell_angle_beta 78.48
_cell_angle_gamma 90.00
_symmetry_space_group_name_H-M 'P 1'
_symmetry_Int_Tables_number 1
loop_
_symmetry_equiv_pos_as_xyz
'x,y,z'
loop_
_atom_site_label
_atom_site_fract_x
_atom_site_fract_y
_atom_site_fract_z
Zn1 0.000 0.000 0.000
Bi1 0.383 0.383 0.235
Bi2 0.617 0.617 0.765
Cu1 0.750 0.250 0.500
Cu2 0.250 0.750 0.500
```

Properties
Formation energy = 4.37 kcal/mol of atoms
Density of states at the Fermi level = 1.89 states/eV/f.u.



[6]
Compound: AcScCd
Source: Alexandria
Functional: PBE
Structure: optimized geometry

Cell and atoms, written as CIF:
```
data_AcScCd
_chemical_formula_sum 'Ac2 Sc2 Cd2'
_cell_length_a 4.657
_cell_length_b 4.657
_cell_length_c 8.680
_cell_angle_alpha 90.00
_cell_angle_beta 90.00
_cell_angle_gamma 90.00
_symmetry_space_group_name_H-M 'P 1'
_symmetry_Int_Tables_number 1
loop_
_symmetry_equiv_pos_as_xyz
'x,y,z'
loop_
_atom_site_label
_atom_site_fract_x
_atom_site_fract_y
_atom_site_fract_z
Cd1 0.000 0.000 0.000
Cd2 0.500 0.500 0.000
Sc1 0.000 0.500 0.791
Sc2 0.500 0.000 0.209
Ac1 0.500 0.000 0.652
Ac2 0.000 0.500 0.348
```

Properties
Formation energy = 0.09 kcal/mol of atoms
Density of states at the Fermi level = 3.93 states/eV/f.u.



[7]
Compound: ZrZnIn2
Source: Alexandria
Functional: PBE
Structure: optimized geometry

Cell and atoms, written as CIF:
```
data_ZrZnIn2
_chemical_formula_sum 'Zr1 Zn1 In2'
_cell_length_a 4.683
_cell_length_b 3.156
_cell_length_c 5.848
_cell_angle_alpha 90.03
_cell_angle_beta 90.00
_cell_angle_gamma 90.00
_symmetry_space_group_name_H-M 'P 1'
_symmetry_Int_Tables_number 1
loop_
_symmetry_equiv_pos_as_xyz
'x,y,z'
loop_
_atom_site_label
_atom_site_fract_x
_atom_site_fract_y
_atom_site_fract_z
In1 0.000 0.252 0.973
In2 0.500 0.247 0.269
Zr1 0.500 0.751 0.741
Zn1 0.000 0.251 0.517
```

Properties
Formation energy = -2.60 kcal/mol of atoms
Density of states at the Fermi level = 1.52 states/eV/f.u.



[8]
Compound: H2RhPbF8
Source: Alexandria
Functional: PBE
Structure: optimized geometry

Cell and atoms, written as CIF:
```
data_H2RhPbF8
_chemical_formula_sum 'H2 Rh1 Pb1 F8'
_cell_length_a 5.193
_cell_length_b 5.192
_cell_length_c 7.100
_cell_angle_alpha 82.57
_cell_angle_beta 82.59
_cell_angle_gamma 65.26
_symmetry_space_group_name_H-M 'P 1'
_symmetry_Int_Tables_number 1
loop_
_symmetry_equiv_pos_as_xyz
'x,y,z'
loop_
_atom_site_label
_atom_site_fract_x
_atom_site_fract_y
_atom_site_fract_z
H1 0.267 0.267 0.733
H2 0.733 0.733 0.267
F1 0.224 0.225 0.926
F2 0.718 0.717 0.414
F3 0.753 0.223 0.799
F4 0.282 0.283 0.586
F5 0.776 0.775 0.074
F6 0.777 0.247 0.201
F7 0.247 0.777 0.201
F8 0.223 0.753 0.799
Pb1 0.000 0.000 0.500
Rh1 0.000 0.000 0.000
```

Properties
Final energy = -53.49 eV/f.u.
Density of states at the Fermi level = 8.10 states/eV/f.u.



[9]
Compound: ThSc2
Source: Alexandria
Functional: PBE
Structure: optimized geometry

Cell and atoms, written as CIF:
```
data_ThSc2
_chemical_formula_sum 'Th2 Sc4'
_cell_length_a 3.628
_cell_length_b 5.408
_cell_length_c 8.710
_cell_angle_alpha 108.09
_cell_angle_beta 90.00
_cell_angle_gamma 90.00
_symmetry_space_group_name_H-M 'P 1'
_symmetry_Int_Tables_number 1
loop_
_symmetry_equiv_pos_as_xyz
'x,y,z'
loop_
_atom_site_label
_atom_site_fract_x
_atom_site_fract_y
_atom_site_fract_z
Sc1 0.750 0.235 0.469
Sc2 0.750 0.922 0.845
Sc3 0.250 0.078 0.155
Sc4 0.250 0.765 0.531
Th1 0.750 0.589 0.179
Th2 0.250 0.411 0.821
```

Properties
Formation energy = 1.94 kcal/mol of atoms
Density of states at the Fermi level = 5.59 states/eV/f.u.



[10]
Compound: AlZnTc2
Source: Alexandria
Functional: PBE
Structure: optimized geometry

Cell and atoms, written as CIF:
```
data_AlZnTc2
_chemical_formula_sum 'Al1 Zn1 Tc2'
_cell_length_a 8.840
_cell_length_b 8.840
_cell_length_c 8.840
_cell_angle_alpha 18.11
_cell_angle_beta 18.11
_cell_angle_gamma 18.11
_symmetry_space_group_name_H-M 'P 1'
_symmetry_Int_Tables_number 1
loop_
_symmetry_equiv_pos_as_xyz
'x,y,z'
loop_
_atom_site_label
_atom_site_fract_x
_atom_site_fract_y
_atom_site_fract_z
Zn1 0.250 0.250 0.250
Tc1 0.499 0.499 0.499
Tc2 0.001 0.001 0.001
Al1 0.750 0.750 0.750
```

Properties
Formation energy = -0.29 kcal/mol of atoms
Density of states at the Fermi level = 4.41 states/eV/f.u.



[11]
Compound: LiScFe2
Source: Alexandria
Functional: PBE
Structure: optimized geometry

Cell and atoms, written as CIF:
```
data_LiScFe2
_chemical_formula_sum 'Li1 Sc1 Fe2'
_cell_length_a 9.184
_cell_length_b 9.184
_cell_length_c 9.184
_cell_angle_alpha 17.27
_cell_angle_beta 17.27
_cell_angle_gamma 17.27
_symmetry_space_group_name_H-M 'P 1'
_symmetry_Int_Tables_number 1
loop_
_symmetry_equiv_pos_as_xyz
'x,y,z'
loop_
_atom_site_label
_atom_site_fract_x
_atom_site_fract_y
_atom_site_fract_z
Fe1 0.501 0.501 0.501
Fe2 0.999 0.999 0.999
Li1 0.250 0.250 0.250
Sc1 0.750 0.750 0.750
```

Properties
Formation energy = 8.58 kcal/mol of atoms
Density of states at the Fermi level = 3.51 states/eV/f.u.



[12]
Compound: CuBiAu2O8
Source: Alexandria
Functional: PBE
Structure: optimized geometry

Cell and atoms, written as CIF:
```
data_CuBiAu2O8
_chemical_formula_sum 'Cu1 Bi1 Au2 O8'
_cell_length_a 5.947
_cell_length_b 5.947
_cell_length_c 5.947
_cell_angle_alpha 110.43
_cell_angle_beta 110.43
_cell_angle_gamma 107.57
_symmetry_space_group_name_H-M 'P 1'
_symmetry_Int_Tables_number 1
loop_
_symmetry_equiv_pos_as_xyz
'x,y,z'
loop_
_atom_site_label
_atom_site_fract_x
_atom_site_fract_y
_atom_site_fract_z
O1 0.275 0.102 0.827
O2 0.719 0.031 0.688
O3 0.343 0.031 0.312
O4 0.969 0.657 0.688
O5 0.552 0.725 0.827
O6 0.969 0.281 0.312
O7 0.275 0.448 0.173
O8 0.898 0.725 0.173
Bi1 0.250 0.750 0.500
Au1 0.500 0.500 0.000
Au2 0.750 0.250 0.500
Cu1 0.000 0.000 0.000
```

Properties
ΔE_f (raw) = 134 meV/atom
Density of states at the Fermi level = 8.61 states/eV/f.u.



Values of size of the total moment, in order: 1.2 2.1 0.0 7.6 0.0 0.0 0.0 1.0 0.0 0.0 4.2 0.5, all in Bohr magnetons per cell.
Values of V, in order: 226.4 322.5 386.0 180.8 107.7 188.3 86.4 171.8 162.4 58.3 59.6 161.7, all in Å³ per cell.